No. 1
## Dy3PaPt12 (PBE-GGA)

Data for an optimized crystal structure of Dy3PaPt12.

Cell lengths 4.1360, 4.1360, 16.4973 Å; angles 90.00, 90.00, 90.00 degrees
Last column: nearest neighbours and their distance in Å.
Fractional positions:
Dy  0.0000  0.0000  0.0000  12 Pt 2.91-2.92
Dy  0.0000  0.0000  0.2461  12 Pt 2.88-2.99
Dy  0.0000  0.0000  0.7539  12 Pt 2.88-2.99
Pa  0.0000  0.0000  0.5000  12 Pt 2.90-2.92
Pt  0.0000  0.5000  0.1244  4 Dy 2.88-2.91, 8 Pt 2.91-2.93
Pt  0.0000  0.5000  0.3769  2 Pa 2.90, 8 Pt 2.90-2.94, 2 Dy 2.99
Pt  0.0000  0.5000  0.6231  2 Pa 2.90, 8 Pt 2.90-2.94, 2 Dy 2.99
Pt  0.0000  0.5000  0.8756  4 Dy 2.88-2.91, 8 Pt 2.91-2.93
Pt  0.5000  0.0000  0.1244  4 Dy 2.88-2.91, 8 Pt 2.91-2.93
Pt  0.5000  0.0000  0.3769  2 Pa 2.90, 8 Pt 2.90-2.94, 2 Dy 2.99
Pt  0.5000  0.0000  0.6231  2 Pa 2.90, 8 Pt 2.90-2.94, 2 Dy 2.99
Pt  0.5000  0.0000  0.8756  4 Dy 2.88-2.91, 8 Pt 2.91-2.93
Pt  0.5000  0.5000  0.0000  8 Pt 2.91, 4 Dy 2.92
Pt  0.5000  0.5000  0.2502  4 Dy 2.93, 8 Pt 2.93-2.94
Pt  0.5000  0.5000  0.5000  8 Pt 2.90, 4 Pa 2.92
Pt  0.5000  0.5000  0.7498  4 Dy 2.93, 8 Pt 2.93-2.94

## Properties
Formation enthalpy at 0 K: -1.068 eV/atom
SG: No. 123
Final energy: -112.88 eV for the cell shown

=====

No. 2
## DyPaPt3 (PBE-GGA)

Data for an optimized crystal structure of DyPaPt3.

Cell lengths 4.2222, 5.6686, 8.9700 Å; angles 90.00, 90.00, 90.00 degrees
Last column: nearest neighbours and their distance in Å.
Fractional positions:
Dy  0.2500  0.2500  0.0558  7 Pt 2.90-2.99
Dy  0.7500  0.7500  0.9442  7 Pt 2.90-2.99
Pa  0.2500  0.7500  0.3911  8 Pt 2.83-2.95
Pa  0.7500  0.2500  0.6089  8 Pt 2.83-2.95
Pt  0.2500  0.2500  0.3890  4 Pa 2.83-2.89, 4 Pt 2.93, 1 Dy 2.99
Pt  0.2500  0.5022  0.7748  4 Pt 2.81-2.93, 3 Dy 2.90-2.96, 2 Pa 2.95
Pt  0.2500  0.9978  0.7748  4 Pt 2.81-2.93, 3 Dy 2.90-2.96, 2 Pa 2.95
Pt  0.7500  0.0022  0.2252  4 Pt 2.81-2.93, 3 Dy 2.90-2.96, 2 Pa 2.95
Pt  0.7500  0.4978  0.2252  4 Pt 2.81-2.93, 3 Dy 2.90-2.96, 2 Pa 2.95
Pt  0.7500  0.7500  0.6110  4 Pa 2.83-2.89, 4 Pt 2.93, 1 Dy 2.99

## Properties
Formation enthalpy at 0 K: -1.123 eV/atom
SG: No. 59
Final energy: -75.67 eV for the cell shown

=====

No. 3
## DyPaPt2 (PBE-GGA)

Data for an optimized crystal structure of DyPaPt2.

Cell lengths 5.7777, 4.3499, 7.5521 Å; angles 90.00, 109.19, 90.00 degrees
Last column: nearest neighbours and their distance in Å.
Fractional positions:
Dy  0.2143  0.2500  0.1772  7 Pt 2.91-3.22
Dy  0.7857  0.7500  0.8228  7 Pt 2.91-3.22
Pa  0.2334  0.2500  0.6840  7 Pt 2.88-3.18
Pa  0.7666  0.7500  0.3160  7 Pt 2.88-3.18
Pt  0.3032  0.7500  0.4557  4 Pa 2.89-3.18, 3 Dy 2.95-3.22, 2 Pt 3.06
Pt  0.3185  0.7500  0.9481  3 Pa 2.88-3.11, 4 Dy 2.91-3.14, 2 Pt 2.94
Pt  0.6815  0.2500  0.0519  3 Pa 2.88-3.11, 4 Dy 2.91-3.14, 2 Pt 2.94
Pt  0.6968  0.2500  0.5443  4 Pa 2.89-3.18, 3 Dy 2.95-3.22, 2 Pt 3.06

## Properties
Formation enthalpy at 0 K: -1.130 eV/atom
E above lowest polymorph: 0.000 eV per atom
SG: No. 11
Final energy: -61.40 eV for the cell shown

=====

No. 4
## DyPaPt2 (PBE-GGA)

Data for an optimized crystal structure of DyPaPt2.

Cell lengths 3.4511, 3.4511, 7.2342 Å; angles 90.00, 90.00, 90.00 degrees
Last column: nearest neighbours and their distance in Å.
Fractional positions:
Dy  0.0000  0.0000  0.0000  8 Pt 3.05
Pa  0.0000  0.0000  0.5000  8 Pt 3.03
Pt  0.5000  0.5000  0.2518  4 Pa 3.03, 4 Dy 3.05
Pt  0.5000  0.5000  0.7482  4 Pa 3.03, 4 Dy 3.05

## Properties
Formation enthalpy at 0 K: -0.971 eV/atom
E above lowest polymorph: 0.159 eV per atom
SG: No. 123
Final energy: -30.07 eV for the cell shown

=====

No. 5
## DyPaPtRh (PBE-GGA)

Data for an optimized crystal structure of DyPaPtRh.

Cell lengths 4.2600, 5.8147, 5.8147 Å; angles 37.13, 90.00, 90.00 degrees
Last column: nearest neighbours and their distance in Å.
Fractional positions:
Dy  0.0000  0.0000  0.0000  1 Rh 2.84, 4 Pt 2.88
Pa  0.5000  0.2750  0.2750  4 Rh 2.84, 3 Pt 3.06-3.07
Pt  0.5000  0.5536  0.5536  4 Dy 2.88, 2 Rh 2.98, 3 Pa 3.06-3.07
Rh  0.0000  0.7423  0.7423  1 Dy 2.84, 4 Pa 2.84, 2 Pt 2.98

## Properties
Formation enthalpy at 0 K: -1.010 eV/atom
E above lowest polymorph: 0.000 eV per atom
SG: No. 38
Final energy: -31.53 eV for the cell shown

=====

No. 6
## DyPaPtRh (PBE-GGA)

Data for an optimized crystal structure of DyPaPtRh.

Cell lengths 4.9182, 4.9182, 4.9182 Å; angles 60.00, 60.00, 60.00 degrees
Last column: nearest neighbours and their distance in Å.
Fractional positions:
Dy  0.0000  0.0000  0.0000  4 Pt 3.01, 4 Rh 3.01
Pa  0.5000  0.5000  0.5000  4 Rh 3.01, 4 Pt 3.01
Pt  0.7500  0.7500  0.7500  4 Dy 3.01, 4 Pa 3.01
Rh  0.2500  0.2500  0.2500  4 Dy 3.01, 4 Pa 3.01

## Properties
Formation enthalpy at 0 K: -0.803 eV/atom
E above lowest polymorph: 0.207 eV per atom
SG: No. 216
Final energy: -30.70 eV for the cell shown

=====

No. 7
## DyPaRuPt (PBE-GGA)

Data for an optimized crystal structure of DyPaRuPt.

Cell lengths 4.8970, 4.8970, 4.8970 Å; angles 60.00, 60.00, 60.00 degrees
Last column: nearest neighbours and their distance in Å.
Fractional positions:
Dy  0.0000  0.0000  0.0000  4 Ru 3.00, 4 Pt 3.00
Pa  0.5000  0.5000  0.5000  4 Ru 3.00, 4 Pt 3.00
Ru  0.2500  0.2500  0.2500  4 Dy 3.00, 4 Pa 3.00
Pt  0.7500  0.7500  0.7500  4 Dy 3.00, 4 Pa 3.00

## Properties
Formation enthalpy at 0 K: -0.637 eV/atom
SG: No. 216
Final energy: -31.96 eV for the cell shown

=====

No. 8
## DyPaTcPt (PBE-GGA)

Data for an optimized crystal structure of DyPaTcPt.

Cell lengths 4.9019, 4.9019, 4.9019 Å; angles 60.00, 60.00, 60.00 degrees
Last column: nearest neighbours and their distance in Å.
Fractional positions:
Dy  0.0000  0.0000  0.0000  4 Tc 3.00, 4 Pt 3.00
Pa  0.5000  0.5000  0.5000  4 Tc 3.00, 4 Pt 3.00
Tc  0.7500  0.7500  0.7500  4 Dy 3.00, 4 Pa 3.00
Pt  0.2500  0.2500  0.2500  4 Dy 3.00, 4 Pa 3.00

## Properties
Formation enthalpy at 0 K: -0.508 eV/atom
SG: No. 216
Final energy: -32.54 eV for the cell shown

=====

No. 9
## DyPu4Pa (PBE-GGA)

Data for an optimized crystal structure of DyPu4Pa.

Cell lengths 6.0240, 6.0240, 6.0240 Å; angles 60.00, 60.00, 60.00 degrees
Last column: nearest neighbours and their distance in Å.
Fractional positions:
Dy  0.0000  0.0000  0.0000  12 Pu 3.54, 4 Pa 3.69
Pu  0.3763  0.3763  0.3763  6 Pu 2.98-3.04
Pu  0.3763  0.3763  0.8711  6 Pu 2.98-3.04
Pu  0.3763  0.8711  0.3763  6 Pu 2.98-3.04
Pu  0.8711  0.3763  0.3763  6 Pu 2.98-3.04
Pa  0.7500  0.7500  0.7500  12 Pu 3.53, 4 Dy 3.69

## Properties
Formation enthalpy at 0 K: 0.305 eV/atom
SG: No. 216
Final energy: -69.60 eV for the cell shown

=====

No. 10
## Dy2PuPa (PBE-GGA)

Data for an optimized crystal structure of Dy2PuPa.

Cell lengths 4.6460, 4.6460, 5.0990 Å; angles 90.00, 90.00, 90.00 degrees
Last column: nearest neighbours and their distance in Å.
Fractional positions:
Dy  0.0000  0.5000  0.0000  4 Dy 3.29, 4 Pa 3.45, 4 Pu 3.45
Dy  0.5000  0.0000  0.0000  4 Dy 3.29, 4 Pa 3.45, 4 Pu 3.45
Pu  0.0000  0.0000  0.5000  4 Pa 3.29, 8 Dy 3.45
Pa  0.5000  0.5000  0.5000  4 Pu 3.29, 8 Dy 3.45

## Properties
Formation enthalpy at 0 K: 0.212 eV/atom
E above lowest polymorph: 0.000 eV per atom
SG: No. 123
Final energy: -32.18 eV for the cell shown

=====

No. 11
## Dy2PuPa (PBE-GGA)

Data for an optimized crystal structure of Dy2PuPa.

Cell lengths 12.0832, 12.0832, 12.0832 Å; angles 15.99, 15.99, 15.99 degrees
Last column: nearest neighbours and their distance in Å.
Fractional positions:
Dy  0.0910  0.0910  0.0910  1 Pu 3.25, 3 Pa 3.33, 6 Dy 3.36
Dy  0.9090  0.9090  0.9090  1 Pu 3.25, 3 Pa 3.33, 6 Dy 3.36
Pu  0.0000  0.0000  0.0000  2 Dy 3.25, 6 Pu 3.36
Pa  0.5000  0.5000  0.5000  6 Dy 3.33, 6 Pa 3.36

## Properties
Formation enthalpy at 0 K: 0.284 eV/atom
E above lowest polymorph: 0.071 eV per atom
SG: No. 166
Final energy: -31.90 eV for the cell shown

=====

No. 12
## DyPu2PaS4 (PBE-GGA)

Data for an optimized crystal structure of DyPu2PaS4.

Cell lengths 6.7785, 3.9000, 6.8058 Å; angles 90.00, 109.26, 90.00 degrees
Last column: nearest neighbours and their distance in Å.
Fractional positions:
Dy  0.0000  0.0000  0.0000  6 S 2.76
Pu  0.5000  0.0000  0.5000  6 S 2.78
Pu  0.5000  0.5000  0.0000  6 S 2.76-2.77
Pa  0.0000  0.5000  0.5000  6 S 2.77
S  0.2480  0.5000  0.2485  2 Dy 2.76, 1 Pa 2.77, 3 Pu 2.77-2.78
S  0.2503  0.0000  0.7518  1 Dy 2.76, 3 Pu 2.76-2.78, 2 Pa 2.77
S  0.7497  0.0000  0.2482  1 Dy 2.76, 3 Pu 2.76-2.78, 2 Pa 2.77
S  0.7520  0.5000  0.7515  2 Dy 2.76, 1 Pa 2.77, 3 Pu 2.77-2.78

## Properties
SG: No. 10
Final energy: -73.58 eV for the cell shown
Formation energy without anion corrections: -1.789 eV per atom